First-principles (PBE) data for La4Ce2Pb3O2 after structural relaxation, as listed in the Alexandria database.

Results
For the energy relative to the elements, uncorrected, the calculation gives -14.68 eV/f.u. The calculated volume comes out at 323.80 Å³/cell. For the density of states at the Fermi level, the calculation gives 1.469 states/eV/atom. For the density, the calculation gives 7.6 g/cm3. Its calculated total energy is -6.118 eV per atom.

Unit cell a=13.743 b=13.743 c=13.743 alpha=159.31 beta=159.31 gamma=29.42
Fractional coordinates of all 11 atoms:
La  0.084  0.584  0.500
La  0.416  0.916  0.500
La  0.584  0.084  0.500
La  0.916  0.416  0.500
Ce  0.195  0.195  0.000
Ce  0.805  0.805  0.000
Pb  0.321  0.321  0.000
Pb  0.500  0.500  0.000
Pb  0.679  0.679  0.000
O  0.107  0.107  0.000
O  0.893  0.893  0.000